Here is a relaxed RbEr4TmS8 crystal from Alexandria. Energies are from PBE-GGA.

Calculated density: 5.026 g/cm³
Total energy: -5.95 eV/atom
ΔE_f (raw): -1.8945 eV per atom

a = 8.2083 Å, b = 8.2083 Å, c = 20.0443 Å
α = 90.00°, β = 90.00°, γ = 120.00°
Last column: nearest neighbours and their distance in Å.
Space group R3m (No. 160, hexagonal axes)
One atom of each set of equivalent atoms:
1 Rb 0.0000 0.0000 0.0000  4 S 2.90
2 Er 0.0000 0.0000 0.7507  4 S 2.65-2.66
3 Er 0.0129 0.5064 0.8773  6 S 2.63-2.88
4 Tm 0.0000 0.0000 0.3711  6 S 2.62-2.87
5 S 0.0000 0.0000 0.1446  3 Er 2.63, 1 Rb 2.90
6 S 0.0000 0.0000 0.6184  4 Er 2.65-2.88
7 S 0.0197 0.5098 0.1278  3 Er 2.66-2.88, 1 Tm 2.87
8 S 0.1926 0.3853 0.9531  1 Tm 2.62, 2 Er 2.64, 1 Rb 2.90